# CaPbCl

A geometry-optimized CaPbCl structure (GGA-PBEsol, Alexandria via LeMat-Bulk).

Summary:
Fermi-level density of states ... 1.37 states/eV per atom
Formation energy without anion corrections ... -204 meV/atom
E ... -0.2144 Ry/atom

Lattice parameters (Å, degrees): 7.4262 7.4262 7.4262 90.00 90.00 90.00
Closest atoms and distances in Å follow each position.
Space group F-43m (No. 216)
One atom of each set of equivalent atoms:
Ca 0.0000 0.0000 0.0000 x4  4 Pb 3.22
Pb 0.2500 0.2500 0.2500 x4  4 Cl 3.22, 4 Ca 3.22
Cl 0.0000 0.0000 0.5000 x4  4 Pb 3.22